This record from the Alexandria database describes crystalline GdThAgHg at its relaxed geometry. The functional is PBE-GGA.

Results
Total DFT energy (no corrections) = -6.4060 eV per atom
Crystal system = cubic
DFT formation energy = -242.6 meV/atom
Total moment = 7.94 μB/f.u.

Geometry as POSCAR:
```
GdThAgHg
1.0
-2.690 -4.375 -1.357
2.116 -4.795 0.867
-2.020 -3.152 3.769
Ag Hg Th Gd
1 1 1 1
direct
0.250 0.250 0.250 Ag
0.750 0.750 0.750 Hg
0.000 0.000 0.000 Th
0.500 0.500 0.500 Gd
```


This record from the Alexandria database describes crystalline YAg2C at its relaxed geometry. The functional is PBE-GGA.

Results
Total DFT energy (no corrections) = -4.4388 eV per atom
Crystal system = tetragonal
DFT formation energy = 908.8 meV/atom
Total moment = 0.00 μB/f.u.

Geometry as POSCAR:
```
YAg2C
1.0
-1.425 2.918 -3.649
-2.967 -3.512 -1.650
-7.403 2.206 1.385
Ag C Y
4 2 2
direct
0.875 0.712 0.750 Ag
0.375 0.538 0.750 Ag
0.288 0.625 0.250 Ag
0.462 0.125 0.250 Ag
0.500 0.500 0.000 C
0.250 0.750 0.500 C
0.750 0.250 0.500 Y
0.000 0.000 0.000 Y
```